Record 1
Here is a geometry-optimized Te2PtAu2F2 structure from the Open Quantum Materials Database. Energies are from GGA-PBE.

Results
Crystal system   tetragonal
Electronic total energy   -3.676 eV per atom

Unit cell a=4.089 b=4.089 c=7.538 alpha=90.00 beta=90.00 gamma=90.00
Sites, in units of the cell vectors:
Te  0.000  0.500  0.249
Te  0.500  0.000  0.751
Pt  0.000  0.000  0.000
Au  0.000  0.500  0.761
Au  0.500  0.000  0.239
F  0.000  0.000  0.500
F  0.500  0.500  0.500

Record 2
Here is a geometry-optimized LuCuGeTe3 structure from the Open Quantum Materials Database. Energies are from GGA-PBE.

Results
Crystal system   monoclinic
Energy relative to the lowest polymorph listed for this composition   0.009 eV/atom
Electronic total energy   -4.235 eV per atom

Unit cell a=8.328 b=4.121 c=9.911 alpha=90.00 beta=103.22 gamma=90.00
Sites, in units of the cell vectors:
Lu  0.172  0.250  0.169
Lu  0.828  0.750  0.831
Cu  0.427  0.750  0.422
Cu  0.573  0.250  0.578
Ge  0.311  0.750  0.711
Ge  0.689  0.250  0.289
Te  0.094  0.250  0.850
Te  0.242  0.250  0.482
Te  0.432  0.750  0.155
Te  0.568  0.250  0.845
Te  0.758  0.750  0.518
Te  0.906  0.750  0.150

Record 3
Here is a geometry-optimized GaNi structure from the Open Quantum Materials Database. Energies are from GGA-PBE.

Results
Crystal system   cubic
Electronic total energy   -4.316 eV per atom

Unit cell a=3.436 b=3.436 c=3.436 alpha=60.00 beta=60.00 gamma=60.00
Sites, in units of the cell vectors:
Ga  0.000  0.000  0.000
Ni  0.500  0.500  0.500

Record 4
Here is a geometry-optimized ReI2 structure from the Open Quantum Materials Database. Energies are from GGA-PBE.

Results
Crystal system   cubic
Energy relative to the lowest polymorph listed for this composition   1.827 eV/atom
Electronic total energy   -2.660 eV per atom

Unit cell a=6.857 b=6.857 c=6.857 alpha=60.00 beta=60.00 gamma=60.00
Sites, in units of the cell vectors:
Re  0.125  0.125  0.125
Re  0.875  0.875  0.875
I  0.000  0.500  0.500
I  0.500  0.000  0.500
I  0.500  0.500  0.000
I  0.500  0.500  0.500

Record 5
Here is a geometry-optimized DyEr2Mg3In3 structure from the Open Quantum Materials Database. Energies are from GGA-PBE.

Results
Crystal system   orthorhombic
Electronic total energy   -3.333 eV per atom

Unit cell a=4.658 b=7.483 c=7.483 alpha=120.18 beta=90.00 gamma=90.00
Sites, in units of the cell vectors:
Dy  0.000  0.000  0.000
Er  0.000  0.129  0.564
Er  0.000  0.564  0.129
Mg  0.500  0.322  0.322
Mg  0.500  0.564  0.805
Mg  0.500  0.805  0.564
In  0.000  0.562  0.562
In  0.500  0.232  0.897
In  0.500  0.897  0.232

Record 6
Here is a geometry-optimized TmInTe structure from the Open Quantum Materials Database. Energies are from GGA-PBE.

Results
Crystal system   cubic
Electronic total energy   -3.734 eV per atom

Unit cell a=5.132 b=5.132 c=5.132 alpha=60.00 beta=60.00 gamma=60.00
Sites, in units of the cell vectors:
Tm  0.000  0.000  0.000
In  0.750  0.750  0.750
Te  0.250  0.250  0.250